(1)
Below is crystalline Ca2ZrW at its relaxed geometry, with properties calculated at the GGA-PBE level.

Calculated values
Energy of formation from the pure elements   0.804 eV per atom
Total DFT energy (no corrections)   -5.572 eV/atom
Energy above the lowest structure with this stoichiometry   416 meV/atom

Cell lengths 11.4380, 11.4380, 11.4380 Å; angles 15.78, 15.78, 15.78 degrees
Closest atoms and distances in Å follow each position.
Fractional coordinates of all 4 atoms:
W 0.2500 0.2500 0.2500  6 W 3.14, 6 Ca 3.16
Ca 0.5068 0.5068 0.5068  6 Ca 3.14, 3 W 3.16
Zr 0.7500 0.7500 0.7500  6 Zr 3.14
Ca 0.9932 0.9932 0.9932  6 Ca 3.14, 3 W 3.16



(2)
Below is crystalline Mo3Ru at its relaxed geometry, with properties calculated at the GGA-PBE level.

Calculated values
Energy of formation from the pure elements   0.195 eV per atom
Total DFT energy (no corrections)   -10.248 eV/atom

Cell lengths 2.7816, 4.8953, 4.8109 Å; angles 99.24, 90.00, 106.51 degrees
Closest atoms and distances in Å follow each position.
Fractional coordinates of all 4 atoms:
Mo 0.2500 0.5000 0.7500  8 Mo 2.74-2.91, 4 Ru 2.78
Mo 0.4887 0.9773 0.4911  3 Ru 2.73-2.88, 9 Mo 2.74-2.91
Ru 0.7500 0.5000 0.2500  10 Mo 2.73-2.88, 2 Ru 2.78
Mo 0.0113 0.0227 0.0089  3 Ru 2.73-2.88, 9 Mo 2.74-2.91